DFT (PBE-GGA) results for PbS5F after structural relaxation.

## Properties
E_tot   -4.1497 eV/atom
M_tot   0.000 μB per atom
Space group   No. 5
DOS at the Fermi energy   1.64 states/eV/cell

Lattice parameters (Å, degrees): 5.4839 4.3884 10.1995 96.32 100.64 113.00
Fractional positions:
Pb (0.7730, 0.2730, 0.5460)
S (0.4668, 0.2150, 0.7486)
S (0.2613, 0.0203, 0.2272)
S (0.2817, 0.5335, 0.7485)
S (0.9659, 0.2069, 0.2272)
S (0.0505, 0.5505, 0.1009)
F (0.7315, 0.7315, 0.4630)